# 1
This record from the Alexandria database describes a relaxed structure of K3Ce3US8. The functional is GGA-PBE.

Structure (CIF):
```
data_K3Ce3US8
_chemical_formula_sum 'K9 Ce9 U3 S24'
_symmetry_space_group_name_H-M 'R -3 m'
_symmetry_Int_Tables_number 166
_symmetry_space_group_name_Hall '-R 3 2"'
_cell_length_a 8.3060
_cell_length_b 8.3060
_cell_length_c 22.3788
_cell_angle_alpha 90.00
_cell_angle_beta 90.00
_cell_angle_gamma 120.00
loop_
_atom_site_label
_atom_site_type_symbol
_atom_site_fract_x
_atom_site_fract_y
_atom_site_fract_z
K1 K 0.0000 0.5000 0.0000
Ce1 Ce 0.0000 0.5000 0.5000
U1 U 0.0000 0.0000 0.5000
S1 S 0.0000 0.0000 0.2352
S2 S 0.0116 0.5058 0.2317
```

electronic total energy	-273.62	eV for the cell shown
total magnetic moment	15.00	μB per cell
ΔE_f (raw)	-25.81	eV per formula unit
V	1337	Å³/cell
DOS(E_F)	1.683	states/eV/atom

***

# 2
This record from the Alexandria database describes a relaxed structure of PtN2Cl. The functional is GGA-PBE.

Structure (CIF):
```
data_PtN2Cl
_chemical_formula_sum 'Pt3 N6 Cl3'
_symmetry_space_group_name_H-M 'R -3 m'
_symmetry_Int_Tables_number 166
_symmetry_space_group_name_Hall '-R 3 2"'
_cell_length_a 3.2615
_cell_length_b 3.2615
_cell_length_c 17.2864
_cell_angle_alpha 90.00
_cell_angle_beta 90.00
_cell_angle_gamma 120.00
loop_
_atom_site_label
_atom_site_type_symbol
_atom_site_fract_x
_atom_site_fract_y
_atom_site_fract_z
Pt1 Pt 0.0000 0.0000 0.0000
N1 N 0.0000 0.0000 0.3863
Cl1 Cl 0.0000 0.0000 0.5000
```

electronic total energy	-62.50	eV for the cell shown
total magnetic moment	0.00	μB per cell
ΔE_f (raw)	3.71	eV per formula unit
V	159	Å³/cell
energy above the lowest structure with this stoichiometry	0.0	meV/atom
DOS(E_F)	0.676	states/eV/atom

***

# 3
This record from the Alexandria database describes a relaxed structure of ScCrFe. The functional is GGA-PBE.

Structure (CIF):
```
data_ScCrFe
_chemical_formula_sum 'Sc1 Cr1 Fe1'
_symmetry_space_group_name_H-M 'P 3 m 1'
_symmetry_Int_Tables_number 156
_symmetry_space_group_name_Hall 'P 3 -2"'
_cell_length_a 2.8719
_cell_length_b 2.8719
_cell_length_c 6.2276
_cell_angle_alpha 90.00
_cell_angle_beta 90.00
_cell_angle_gamma 120.00
loop_
_atom_site_label
_atom_site_type_symbol
_atom_site_fract_x
_atom_site_fract_y
_atom_site_fract_z
Sc1 Sc 0.0000 0.0000 0.0000
Cr1 Cr 0.3333 0.6667 0.3681
Fe1 Fe 0.6667 0.3333 0.6374
```

electronic total energy	-23.18	eV for the cell shown
total magnetic moment	0.55	μB per cell
V	44	Å³/cell
energy above the lowest structure with this stoichiometry	505.1	meV/atom
DOS(E_F)	1.309	states/eV/atom